Entry 1:
VASP calculation (PBE) on a geometry-optimized ScSi3Tc2 structure.

Results
Calculated total energy (eV per cell): -46.7

Cell: 3.1461 3.1461 8.8609 Å, 90.00 90.00 90.00°
Last column: nearest neighbours and their distance in Å.
Fractional coordinates of all 6 atoms:
Sc: 0.0000 0.0000 0.0000  4 Tc 2.90, 5 Si 2.92-2.93, 4 Sc 3.15
Si: 0.0000 0.0000 0.6694  5 Tc 2.47-2.68, 4 Si 2.63
Si: 0.5000 0.5000 0.2129  4 Tc 2.61, 1 Si 2.64, 4 Sc 2.92
Si: 0.5000 0.5000 0.5111  5 Tc 2.47-2.57, 5 Si 2.63-2.64
Tc: 0.0000 0.0000 0.3664  9 Si 2.57-2.68
Tc: 0.5000 0.5000 0.7903  5 Si 2.47

***

Entry 2:
VASP calculation (PBE) on a geometry-optimized Sc2SiTc2 structure.

Results
Energy above the lowest structure with this stoichiometry (kJ per mole of atoms): 0.0

Cell: 6.9393 6.9393 6.9393 Å, 149.59 149.59 43.54°
Last column: nearest neighbours and their distance in Å.
Fractional coordinates of all 5 atoms:
Sc: 0.0933 0.0933 0.0000  1 Sc 2.41
Sc: 0.9067 0.9067 0.0000  1 Sc 2.41
Si: 0.5000 0.5000 0.0000  8 Sc 2.84
Tc: 0.2500 0.7500 0.5000  4 Tc 2.57, 4 Sc 2.72
Tc: 0.7500 0.2500 0.5000  4 Tc 2.57, 4 Sc 2.72

***

Entry 3:
VASP calculation (PBE) on a geometry-optimized ScSiTc2 structure.

Results
Calculated total energy (eV per cell): -33.3

Cell: 4.4114 4.4114 4.4114 Å, 60.00 60.00 60.00°
Last column: nearest neighbours and their distance in Å.
Fractional coordinates of all 4 atoms:
Sc: 0.0000 0.0000 0.0000  4 Tc 2.70, 4 Si 2.70
Si: 0.7500 0.7500 0.7500  4 Tc 2.70, 4 Sc 2.70
Tc: 0.2500 0.2500 0.2500  4 Tc 2.70, 4 Sc 2.70
Tc: 0.5000 0.5000 0.5000  4 Tc 2.70, 4 Si 2.70

***

Entry 4:
VASP calculation (PBE) on a geometry-optimized Sc2SiTc2 structure.

Results
Energy above the lowest structure with this stoichiometry (kJ per mole of atoms): 45.7

Cell: 6.5515 6.5515 6.5515 Å, 144.28 144.28 51.41°
Last column: nearest neighbours and their distance in Å.
Fractional coordinates of all 5 atoms:
Sc: 0.2500 0.7500 0.5000  4 Tc 2.72, 4 Sc 2.84
Sc: 0.7500 0.2500 0.5000  4 Tc 2.72, 4 Sc 2.84
Si: 0.0000 0.0000 0.0000  8 Tc 3.06
Tc: 0.4047 0.4047 0.0000  1 Tc 2.25
Tc: 0.5953 0.5953 0.0000  1 Tc 2.25

***

Entry 5:
VASP calculation (PBE) on a geometry-optimized Th2ScSi3 structure.

Results
Calculated total energy (eV per cell): -40.8

Cell: 4.1039 4.1039 7.9641 Å, 90.00 90.00 90.00°
Last column: nearest neighbours and their distance in Å.
Fractional coordinates of all 6 atoms:
Th: 0.0000 0.5000 0.1528  5 Si 2.99-3.15
Th: 0.5000 0.0000 0.8472  5 Si 2.99-3.15
Sc: 0.0000 0.0000 0.5000  8 Si 2.90
Si: 0.0000 0.5000 0.7571  2 Si 2.90, 2 Sc 2.90, 5 Th 2.99-3.15
Si: 0.5000 0.0000 0.2429  2 Si 2.90, 2 Sc 2.90, 5 Th 2.99-3.15
Si: 0.5000 0.5000 0.5000  4 Si 2.90, 4 Sc 2.90

***

Entry 6:
VASP calculation (PBE) on a geometry-optimized ScSi2W2 structure.

Results
Calculated total energy (eV per cell): -44.5

Cell: 6.1829 6.1829 6.1829 Å, 143.15 143.15 53.10°
Last column: nearest neighbours and their distance in Å.
Fractional coordinates of all 5 atoms:
Sc: 0.0000 0.0000 0.0000  8 Si 2.99
Si: 0.3962 0.3962 0.0000  1 Si 2.30, 4 W 2.54
Si: 0.6038 0.6038 0.0000  1 Si 2.30, 4 W 2.54
W: 0.2500 0.7500 0.5000  4 Si 2.54, 4 W 2.76
W: 0.7500 0.2500 0.5000  4 Si 2.54, 4 W 2.76